Compound: TbCr2BiO8
Source: Alexandria via LeMat-Bulk
Functional: GGA+U
Structure: optimized geometry

It has space group I-4m2 (No. 119), with a = 7.325 Å, b = 7.325 Å, c = 6.381 Å, α = 90.00°, β = 90.00° and γ = 90.00°. The inequivalent atoms are Tb at (0.000, 0.000, 0.000), Cr at (0.000, 0.000, 0.500), Cr at (0.000, 0.500, 0.750), Bi at (0.000, 0.500, 0.250), O at (0.000, 0.179, 0.324) and O at (0.000, 0.316, 0.919).

For the mass density, the calculation gives 5.82 g cm⁻³. The calculation puts the total energy at -84.85 eV/f.u. The density of states at the Fermi level is 0.071 states/eV per atom. Its volume is 171 Å³/f.u.